Record 1
K2LaY | Alexandria | GGA-PBE | optimized geometry; DOS at the Fermi energy = 1.3983 states/eV per atom; M_tot = 0.01 Bohr magnetons per cell; formation enthalpy at 0 K = 0.5383 eV per atom
1.0
7.9692 -0.0060 0.0000
4.7745 6.3806 0.0000
-6.3718 -3.1873 3.5706
La K Y
1 2 1
direct
0.2500 0.7500 0.5000
0.5000 0.5000 0.0000
0.0000 0.0000 0.0000
0.7500 0.2500 0.5000

Record 2
KLa2Y | Alexandria | GGA-PBE | optimized geometry; DOS at the Fermi energy = 1.8209 states/eV per atom; M_tot = 0.00 Bohr magnetons per cell; formation enthalpy at 0 K = 0.4684 eV per atom
1.0
-3.6373 1.5721 3.8345
2.4417 -3.1076 3.5902
3.1846 4.0662 1.3537
La Y K
2 1 1
direct
0.0000 0.0000 0.0000
0.0000 0.5000 0.5000
0.5000 0.5000 0.0000
0.5000 0.0000 0.5000

Record 3
KLa2Y | Alexandria | GGA-PBE | optimized geometry; DOS at the Fermi energy = 1.9377 states/eV per atom; M_tot = 0.00 Bohr magnetons per cell; formation enthalpy at 0 K = 0.4640 eV per atom
1.0
6.6548 0.0283 0.0000
2.3134 6.2398 0.0000
-4.4841 -3.1340 3.7892
Y La K
1 2 1
direct
0.5000 0.5000 0.0000
0.0000 0.0000 0.0000
0.2500 0.7500 0.5000
0.7500 0.2500 0.5000

Record 4
KLa2Y | Alexandria | GGA-PBE | optimized geometry; DOS at the Fermi energy = 1.3215 states/eV per atom; M_tot = 0.00 Bohr magnetons per cell; formation enthalpy at 0 K = 0.4789 eV per atom
1.0
6.0694 0.0000 0.0000
3.0347 5.2562 0.0000
3.0347 1.7521 4.9556
La Y K
2 1 1
direct
0.2500 0.2500 0.2500
0.0000 0.0000 0.0000
0.7500 0.7500 0.7500
0.5000 0.5000 0.5000

Record 5
K2LaY | Alexandria | GGA-PBE | optimized geometry; DOS at the Fermi energy = 1.7081 states/eV per atom; M_tot = 0.16 Bohr magnetons per cell; formation enthalpy at 0 K = 0.5315 eV per atom
1.0
8.0210 0.0085 0.0037
3.8285 7.0483 -0.0037
-4.6985 -5.5873 3.3228
K Y La
2 1 1
direct
0.0063 0.0063 0.0000
0.7476 0.2476 0.5000
0.2709 0.7709 0.5000
0.4751 0.4751 0.0000

Record 6
KLa2Y | Alexandria | GGA-PBE | optimized geometry; DOS at the Fermi energy = 1.8823 states/eV per atom; M_tot = 0.30 Bohr magnetons per cell; formation enthalpy at 0 K = 0.4011 eV per atom
1.0
6.7572 -0.0583 0.0000
-2.2432 6.3743 0.0000
0.0000 0.0000 3.6428
K La Y
1 2 1
direct
0.0000 0.5000 0.5000
0.0000 0.0000 0.0000
0.5000 0.5000 0.0000
0.5000 0.0000 0.5000

Record 7
KLa4Y | Alexandria | GGA-PBE | optimized geometry; DOS at the Fermi energy = 1.6000 states/eV per atom; M_tot = 0.01 Bohr magnetons per cell; formation enthalpy at 0 K = 0.3777 eV per atom
1.0
0.0000 4.9493 4.9493
4.9493 0.0000 4.9493
4.9493 4.9493 0.0000
La Y K
4 1 1
direct
0.3828 0.8515 0.3828
0.8515 0.3828 0.3828
0.3828 0.3828 0.3828
0.3828 0.3828 0.8515
0.7500 0.7500 0.7500
0.0000 0.0000 0.0000

Record 8
K2LaY | Alexandria | GGA-PBE | optimized geometry; DOS at the Fermi energy = 1.3273 states/eV per atom; M_tot = 0.24 Bohr magnetons per cell; formation enthalpy at 0 K = 0.4308 eV per atom
1.0
14.7721 -0.0188 -0.0110
14.3076 3.6754 -0.0110
14.3076 1.7991 3.2050
La K Y
1 2 1
direct
0.2500 0.2500 0.2500
0.4979 0.4979 0.4979
0.0021 0.0021 0.0021
0.7500 0.7500 0.7500

Record 9
K3LaY | Alexandria | GGA-PBE | optimized geometry; DOS at the Fermi energy = 1.4588 states/eV per atom; M_tot = 3.48 Bohr magnetons per cell; formation enthalpy at 0 K = 1.2450 eV per atom
1.0
6.6827 0.0000 0.0000
0.0000 6.6827 0.0000
0.0000 0.0000 6.6827
La Y K
1 1 3
direct
0.0000 0.0000 0.0000
0.5000 0.5000 0.5000
0.0000 0.0000 0.5000
0.5000 0.0000 0.0000
0.0000 0.5000 0.0000

Record 10
K2LaY | Alexandria | GGA-PBE | optimized geometry; DOS at the Fermi energy = 1.2033 states/eV per atom; M_tot = 0.00 Bohr magnetons per cell; formation enthalpy at 0 K = 0.4386 eV per atom
1.0
7.2413 0.0000 0.0000
0.0000 3.7022 -0.0023
0.0000 0.3202 6.5367
La Y K
1 1 2
direct
0.5000 0.2500 0.2500
0.5000 0.7500 0.7500
0.0000 0.4996 0.5043
0.0000 0.0004 0.9957

Record 11
K2LaY | Alexandria | GGA-PBE | optimized geometry; DOS at the Fermi energy = 1.3629 states/eV per atom; M_tot = 0.00 Bohr magnetons per cell; formation enthalpy at 0 K = 0.5306 eV per atom
1.0
3.5298 0.0000 0.0000
0.0000 7.1189 0.0000
0.0000 0.0000 7.1730
Y K La
1 2 1
direct
0.5000 0.5000 0.7500
0.0000 0.0000 0.9953
0.0000 0.0000 0.5047
0.5000 0.5000 0.2500

Record 12
K2LaY | Alexandria | GGA-PBE | optimized geometry; DOS at the Fermi energy = 1.5052 states/eV per atom; M_tot = 0.42 Bohr magnetons per cell; formation enthalpy at 0 K = 0.2345 eV per atom
1.0
3.8031 0.1164 0.0000
-0.1609 3.8015 0.0000
0.0000 0.0000 13.1301
K Y La
2 1 1
direct
0.0000 0.0000 0.9679
0.5000 0.5000 0.2757
0.5000 0.5000 0.7182
0.0000 0.0000 0.5382

Record 13
KLa2Y | Alexandria | GGA-PBE | optimized geometry; DOS at the Fermi energy = 0.8998 states/eV per atom; M_tot = 0.00 Bohr magnetons per cell; formation enthalpy at 0 K = 0.1474 eV per atom
1.0
13.5972 0.0096 0.0056
13.0829 3.7040 0.0056
13.0829 1.8210 3.2255
K La Y
1 2 1
direct
0.7500 0.7500 0.7500
0.9885 0.9885 0.9885
0.5115 0.5115 0.5115
0.2500 0.2500 0.2500

Record 14
K2LaY | Alexandria | GGA-PBE | optimized geometry; DOS at the Fermi energy = 1.3771 states/eV per atom; M_tot = 0.00 Bohr magnetons per cell; formation enthalpy at 0 K = 0.5355 eV per atom
1.0
-3.9633 -2.5092 -5.3676
4.1869 -1.3817 -2.4456
-0.1796 -4.5124 2.2420
K Y La
2 1 1
direct
0.0000 0.5000 0.5000
0.0000 0.0000 0.0000
0.5000 0.0000 0.5000
0.5000 0.5000 0.0000

Record 15
KLa2Y | Alexandria | GGA-PBE | optimized geometry; DOS at the Fermi energy = 1.9441 states/eV per atom; M_tot = 0.00 Bohr magnetons per cell; formation enthalpy at 0 K = 0.4548 eV per atom
1.0
6.6614 0.0422 0.0000
2.2935 6.2543 0.0000
-4.4775 -3.1483 3.7970
La Y K
2 1 1
direct
0.0000 0.0000 0.0000
0.5000 0.5000 0.0000
0.2500 0.7500 0.5000
0.7500 0.2500 0.5000

Record 16
KLa2Y | Alexandria | GGA-PBE | optimized geometry; DOS at the Fermi energy = 1.6400 states/eV per atom; M_tot = 0.00 Bohr magnetons per cell; formation enthalpy at 0 K = 0.3938 eV per atom
1.0
7.4764 0.0083 0.0322
3.7019 6.4956 -0.0322
-4.6991 -4.7815 3.3094
La Y K
2 1 1
direct
0.5174 0.5174 0.0000
0.9826 0.9826 0.0000
0.7500 0.2500 0.5000
0.2500 0.7500 0.5000

Record 17
K2LaY | Alexandria | GGA-PBE | optimized geometry; DOS at the Fermi energy = 1.6251 states/eV per atom; M_tot = 1.88 Bohr magnetons per cell; formation enthalpy at 0 K = 0.7630 eV per atom
1.0
-0.2695 -3.6125 5.1930
2.6742 1.9901 5.3832
-3.6329 1.7431 4.8840
K Y La
2 1 1
direct
0.7500 0.7500 0.7500
0.2500 0.2500 0.2500
0.0000 0.0000 0.0000
0.5000 0.5000 0.5000

Record 18
KLa2Y2 | Alexandria | GGA-PBE | optimized geometry; DOS at the Fermi energy = 1.8218 states/eV per atom; M_tot = 0.00 Bohr magnetons per cell; formation enthalpy at 0 K = 0.2893 eV per atom
1.0
10.4107 0.0000 0.0000
0.0000 10.4107 0.0000
0.0000 0.0000 3.6435
La Y K
4 4 2
direct
0.3223 0.1777 0.5000
0.6777 0.8223 0.5000
0.8223 0.3223 0.5000
0.1777 0.6777 0.5000
0.8861 0.6139 0.0000
0.6139 0.1139 0.0000
0.1139 0.3861 0.0000
0.3861 0.8861 0.0000
0.0000 0.0000 0.0000
0.5000 0.5000 0.0000

Record 19
K2LaY | Alexandria | GGA-PBE | optimized geometry; DOS at the Fermi energy = 1.6633 states/eV per atom; M_tot = 0.02 Bohr magnetons per cell; formation enthalpy at 0 K = 0.4443 eV per atom
1.0
3.6749 -0.0014 0.0000
-1.6791 3.2688 0.0000
0.0000 0.0000 14.5656
K Y La
2 1 1
direct
0.0000 0.0000 0.9950
0.0000 0.0000 0.5050
0.5000 0.5000 0.7500
0.5000 0.5000 0.2500

Record 20
KLa2Y | Alexandria | GGA-PBE | optimized geometry; DOS at the Fermi energy = 1.9379 states/eV per atom; M_tot = 0.00 Bohr magnetons per cell; formation enthalpy at 0 K = 0.2534 eV per atom
1.0
-2.4883 1.8046 1.9642
-0.1951 -3.6425 0.0234
8.1718 -0.3689 10.6913
La Y K
2 1 1
direct
0.5000 0.5000 0.2531
0.0000 0.0000 0.0270
0.0000 0.0000 0.4744
0.5000 0.5000 0.7454